Record 1
# TlAgGeN2 | the Alexandria database | PBE | optimized geometry
data_TlAgGeN2
_cell_length_a 4.1808
_cell_length_b 4.1808
_cell_length_c 5.8107
_cell_angle_alpha 90.00
_cell_angle_beta 90.00
_cell_angle_gamma 90.00
_space_group_name_H-M_alt 'P 4/m m m'
_space_group_IT_number 123
_space_group_name_Hall '-P 4 2'
loop_
_atom_site_label
_atom_site_fract_x
_atom_site_fract_y
_atom_site_fract_z
_atom_site_occupancy
Tl1 0.0000 0.0000 0.0000 1
Ag1 0.0000 0.0000 0.5000 1
Ge1 0.5000 0.5000 0.0000 1
N1 0.0000 0.5000 0.5000 1
# ΔE_f (raw) in eV/atom: 1.81

---

Record 2
# NpAl8Fe4 | the Alexandria database | PBE | optimized geometry
data_NpAl8Fe4
_cell_length_a 8.7129
_cell_length_b 8.7129
_cell_length_c 4.9863
_cell_angle_alpha 90.00
_cell_angle_beta 90.00
_cell_angle_gamma 90.00
_space_group_name_H-M_alt 'I 4/m m m'
_space_group_IT_number 139
_space_group_name_Hall '-I 4 2'
loop_
_atom_site_label
_atom_site_fract_x
_atom_site_fract_y
_atom_site_fract_z
_atom_site_occupancy
Np1 0.0000 0.0000 0.0000 1
Al1 0.0000 0.2187 0.5000 1
Al2 0.0000 0.3405 0.0000 1
Fe1 0.2500 0.2500 0.2500 1
# ΔH_f (0 K) in eV per atom: -0.3048

---

Record 3
# BeCoB2 | the Alexandria database | PBE | optimized geometry
data_BeCoB2
_cell_length_a 3.2148
_cell_length_b 3.2148
_cell_length_c 9.7411
_cell_angle_alpha 90.00
_cell_angle_beta 90.00
_cell_angle_gamma 120.00
_space_group_name_H-M_alt 'R -3 m'
_space_group_IT_number 166
_space_group_name_Hall '-R 3 2"'
loop_
_atom_site_label
_atom_site_fract_x
_atom_site_fract_y
_atom_site_fract_z
_atom_site_occupancy
Be1 0.0000 0.0000 0.0000 1
Co1 0.0000 0.0000 0.5000 1
B1 0.0000 0.0000 0.2895 1
# ΔH_f (0 K) in eV per atom: 0.0907
# Offset from the most stable computed form in meV per atom: 28.4

---

Record 4
# LaErZr2 | the Alexandria database | PBE | optimized geometry
data_LaErZr2
_cell_length_a 3.3769
_cell_length_b 3.3769
_cell_length_c 33.0385
_cell_angle_alpha 90.00
_cell_angle_beta 90.00
_cell_angle_gamma 120.00
_space_group_name_H-M_alt 'R -3 m'
_space_group_IT_number 166
_space_group_name_Hall '-R 3 2"'
loop_
_atom_site_label
_atom_site_fract_x
_atom_site_fract_y
_atom_site_fract_z
_atom_site_occupancy
La1 0.0000 0.0000 0.0000 1
Er1 0.0000 0.0000 0.5000 1
Zr1 0.0000 0.0000 0.2485 1
# ΔH_f (0 K) in eV per atom: 0.1674
# Offset from the most stable computed form in meV per atom: 6.1

---

Record 5
# Sb3Rh | the Alexandria database | PBE | optimized geometry
data_Sb3Rh
_cell_length_a 8.3046
_cell_length_b 8.3046
_cell_length_c 3.4290
_cell_angle_alpha 90.00
_cell_angle_beta 90.00
_cell_angle_gamma 120.00
_space_group_name_H-M_alt 'P 63/m m c'
_space_group_IT_number 194
_space_group_name_Hall '-P 6c 2c'
loop_
_atom_site_label
_atom_site_fract_x
_atom_site_fract_y
_atom_site_fract_z
_atom_site_occupancy
Sb1 0.1889 0.3778 0.2500 1
Rh1 0.3333 0.6667 0.7500 1
# Offset from the most stable computed form in meV per atom: 336.5
# ΔE_f (raw) in eV/atom: -0.07

---

Record 6
# Dy6ScTl5 | the Alexandria database | PBE | optimized geometry
data_Dy6ScTl5
_cell_length_a 4.9677
_cell_length_b 8.7474
_cell_length_c 15.1170
_cell_angle_alpha 90.00
_cell_angle_beta 90.00
_cell_angle_gamma 90.00
_space_group_name_H-M_alt 'I m m m'
_space_group_IT_number 71
_space_group_name_Hall '-I 2 2'
loop_
_atom_site_label
_atom_site_fract_x
_atom_site_fract_y
_atom_site_fract_z
_atom_site_occupancy
Dy1 0.0000 0.2327 0.0000 1
Dy2 0.0000 0.2582 0.3307 1
Sc1 0.0000 0.0000 0.5000 1
Tl1 0.0000 0.0000 0.1743 1
Tl2 0.0000 0.5000 0.1467 1
Tl3 0.0000 0.5000 0.5000 1
# ΔH_f (0 K) in eV per atom: -0.2756
# Offset from the most stable computed form in meV per atom: 0.0

---

Record 7
# LaFe2Pt2 | the Alexandria database | PBE | optimized geometry
data_LaFe2Pt2
_cell_length_a 4.1846
_cell_length_b 4.1846
_cell_length_c 9.9313
_cell_angle_alpha 90.00
_cell_angle_beta 90.00
_cell_angle_gamma 90.00
_space_group_name_H-M_alt 'I 4/m m m'
_space_group_IT_number 139
_space_group_name_Hall '-I 4 2'
loop_
_atom_site_label
_atom_site_fract_x
_atom_site_fract_y
_atom_site_fract_z
_atom_site_occupancy
La1 0.0000 0.0000 0.0000 1
Fe1 0.0000 0.0000 0.3988 1
Pt1 0.0000 0.5000 0.2500 1
# ΔH_f (0 K) in eV per atom: -0.2069
# Offset from the most stable computed form in meV per atom: 0.0

---

Record 8
# Mg6IrAu5 | the Alexandria database | PBE | optimized geometry
data_Mg6IrAu5
_cell_length_a 4.5633
_cell_length_b 13.7168
_cell_length_c 6.6986
_cell_angle_alpha 90.00
_cell_angle_beta 90.00
_cell_angle_gamma 90.00
_space_group_name_H-M_alt 'C m m m'
_space_group_IT_number 65
_space_group_name_Hall '-C 2 2'
loop_
_atom_site_label
_atom_site_fract_x
_atom_site_fract_y
_atom_site_fract_z
_atom_site_occupancy
Mg1 0.0000 0.0000 0.2417 1
Mg2 0.0000 0.3377 0.2437 1
Ir1 0.0000 0.5000 0.0000 1
Au1 0.0000 0.1658 0.0000 1
Au2 0.0000 0.1698 0.5000 1
Au3 0.0000 0.5000 0.5000 1
# ΔH_f (0 K) in eV per atom: -0.5459